Entry from the Alexandria database: SrHfI3 after structural relaxation (PBE-GGA).

Fermi-level density of states = 1.880 states/eV/atom
space-group type = Pm-3m, No. 221
total moment = 1.00 μB per formula unit
total DFT energy (no corrections) = -16.3 eV for the cell shown

Cell: 6.3299 6.3299 6.3299 Å, 90.00 90.00 90.00°
With the nearest neighbours (Å) after each atom.
Fractional positions:
Sr1 0.0000 0.0000 0.0000  6 I 3.16
Hf1 0.5000 0.5000 0.5000  12 I 4.48
I1 0.0000 0.0000 0.5000  2 Sr 3.16
I2 0.0000 0.5000 0.0000  2 Sr 3.16
I3 0.5000 0.0000 0.0000  2 Sr 3.16

Entry from the Alexandria database: SrHfI3 after structural relaxation (PBE-GGA).

Fermi-level density of states = 0.874 states/eV/atom
space-group type = Pm-3m, No. 221
total moment = 0.00 μB per formula unit
total DFT energy (no corrections) = -18.2 eV for the cell shown

Cell: 5.7046 5.7046 5.7046 Å, 90.00 90.00 90.00°
With the nearest neighbours (Å) after each atom.
Fractional positions:
Sr1 0.0000 0.0000 0.0000  12 I 4.03
Hf1 0.5000 0.5000 0.5000  6 I 2.85
I1 0.0000 0.5000 0.5000  2 Hf 2.85
I2 0.5000 0.0000 0.5000  2 Hf 2.85
I3 0.5000 0.5000 0.0000  2 Hf 2.85

Entry from the Alexandria database: SrHfTe2I after structural relaxation (PBE-GGA).

Fermi-level density of states = 1.376 states/eV/atom
space-group type = P4/mmm, No. 123
total moment = 0.00 μB per formula unit
total DFT energy (no corrections) = -17.0 eV for the cell shown

Cell: 6.0986 6.0986 5.8753 Å, 90.00 90.00 90.00°
With the nearest neighbours (Å) after each atom.
Fractional positions:
Sr1 0.0000 0.0000 0.0000  2 I 2.94, 4 Te 3.05
Hf1 0.5000 0.5000 0.5000  8 Te 4.23, 4 I 4.31
Te1 0.0000 0.5000 0.0000  2 Sr 3.05
Te2 0.5000 0.0000 0.0000  2 Sr 3.05
I1 0.0000 0.0000 0.5000  2 Sr 2.94

Entry from the Alexandria database: SrHfTe2I after structural relaxation (PBE-GGA).

Fermi-level density of states = 0.510 states/eV/atom
space-group type = P4/mmm, No. 123
total moment = 0.00 μB per formula unit
total DFT energy (no corrections) = -23.3 eV for the cell shown

Cell: 5.6543 5.6543 5.6135 Å, 90.00 90.00 90.00°
With the nearest neighbours (Å) after each atom.
Fractional positions:
Sr1 0.0000 0.0000 0.0000  8 Te 3.98, 4 I 4.00
Hf1 0.5000 0.5000 0.5000  2 I 2.81, 4 Te 2.83
Te1 0.0000 0.5000 0.5000  2 Hf 2.83
Te2 0.5000 0.0000 0.5000  2 Hf 2.83
I1 0.5000 0.5000 0.0000  2 Hf 2.81

Entry from the Alexandria database: SrHf2WI after structural relaxation (PBE-GGA).

Fermi-level density of states = 0.956 states/eV/atom
space-group type = P4/mmm, No. 123
total moment = 0.00 μB per formula unit
total DFT energy (no corrections) = -32.3 eV for the cell shown

Cell: 5.0333 5.0333 6.3043 Å, 90.00 90.00 90.00°
With the nearest neighbours (Å) after each atom.
Fractional positions:
Sr1 0.0000 0.0000 0.0000  4 I 3.56
Hf1 0.0000 0.5000 0.5000  2 W 2.52
Hf2 0.5000 0.0000 0.5000  2 W 2.52
W1 0.5000 0.5000 0.5000  4 Hf 2.52
I1 0.5000 0.5000 0.0000  2 W 3.15

Entry from the Alexandria database: SrHfZrI2 after structural relaxation (PBE-GGA).

Fermi-level density of states = 1.380 states/eV/atom
space-group type = P4/mmm, No. 123
total moment = 1.66 μB per formula unit
total DFT energy (no corrections) = -19.2 eV for the cell shown

Cell: 5.5910 5.5910 6.6463 Å, 90.00 90.00 90.00°
With the nearest neighbours (Å) after each atom.
Fractional positions:
Sr1 0.0000 0.0000 0.0000  2 Zr 3.32
Hf1 0.5000 0.5000 0.0000  4 Sr 3.95, 8 I 4.34
Zr1 0.0000 0.0000 0.5000  4 I 2.80
I1 0.0000 0.5000 0.5000  2 Zr 2.80
I2 0.5000 0.0000 0.5000  2 Zr 2.80

Entry from the Alexandria database: Hf3TaI after structural relaxation (PBE-GGA).

Fermi-level density of states = 1.598 states/eV/atom
space-group type = Pm-3m, No. 221
total moment = 0.00 μB per formula unit
total DFT energy (no corrections) = -37.9 eV for the cell shown

Cell: 5.1983 5.1983 5.1983 Å, 90.00 90.00 90.00°
With the nearest neighbours (Å) after each atom.
Fractional positions:
Hf1 0.0000 0.0000 0.5000  2 Ta 2.60
Hf2 0.0000 0.5000 0.0000  2 Ta 2.60
Hf3 0.5000 0.0000 0.0000  2 Ta 2.60
Ta1 0.0000 0.0000 0.0000  6 Hf 2.60
I1 0.5000 0.5000 0.5000  12 Hf 3.68

Entry from the Alexandria database: HfTa3I after structural relaxation (PBE-GGA).

Fermi-level density of states = 0.573 states/eV/atom
space-group type = Pm-3m, No. 221
total moment = 0.00 μB per formula unit
total DFT energy (no corrections) = -37.9 eV for the cell shown

Cell: 4.9538 4.9538 4.9538 Å, 90.00 90.00 90.00°
With the nearest neighbours (Å) after each atom.
Fractional positions:
Hf1 0.0000 0.0000 0.0000  12 Ta 3.50
Ta1 0.0000 0.5000 0.5000  2 I 2.48
Ta2 0.5000 0.0000 0.5000  2 I 2.48
Ta3 0.5000 0.5000 0.0000  2 I 2.48
I1 0.5000 0.5000 0.5000  6 Ta 2.48

- Look up the Fermi-level density of states of the first one.
  1.880 states/eV/atom